P.
## InHg3Se (PBE-GGA)

Data for a relaxed InHg3Se crystal.

Cell and atoms, written as POSCAR:
```
InHg3Se
1.0
5.5349 0.0000 0.0000
0.0000 5.5349 0.0000
0.0000 0.0000 5.5349
In Hg Se
1 3 1
Cartesian
0.0000 0.0000 0.0000
0.0000 2.7674 2.7674
2.7674 0.0000 2.7674
2.7674 2.7674 0.0000
2.7674 2.7674 2.7674
```

Properties
**V**: 170 Å³/cell
**Theoretical density**: 7.8 g/cm3

---

Q.
## InHg3Se (PBE-GGA)

Data for a relaxed InHg3Se crystal.

Cell and atoms, written as POSCAR:
```
InHg3Se
1.0
5.5771 0.0000 0.0000
0.0000 5.5771 0.0000
0.0000 0.0000 5.5771
In Hg Se
1 3 1
Cartesian
0.0000 0.0000 0.0000
0.0000 0.0000 2.7885
0.0000 2.7885 0.0000
2.7885 0.0000 0.0000
2.7885 2.7885 2.7885
```

Properties
**V**: 173 Å³/cell
**Theoretical density**: 7.6 g/cm3

---

Top of the stability list: P, leading by 7.0 kJ/mol of atoms.

---

P.
## TlInHgSe (PBE-GGA)

Data for a relaxed TlInHgSe crystal.

Cell and atoms, written as POSCAR:
```
TlInHgSe
1.0
7.7277 0.0000 0.0000
0.0000 7.7277 0.0000
0.0000 0.0000 7.7277
Tl In Hg Se
4 4 4 4
Cartesian
0.0000 0.0000 0.0000
0.0000 3.8639 3.8639
3.8639 0.0000 3.8639
3.8639 3.8639 0.0000
0.0000 0.0000 3.8639
0.0000 3.8639 0.0000
3.8639 0.0000 0.0000
3.8639 3.8639 3.8639
1.9319 1.9319 1.9319
1.9319 5.7958 5.7958
5.7958 1.9319 5.7958
5.7958 5.7958 1.9319
1.9319 1.9319 5.7958
1.9319 5.7958 1.9319
5.7958 1.9319 1.9319
5.7958 5.7958 5.7958
```

Properties
**V**: 461 Å³/cell
**Theoretical density**: 8.6 g/cm3

---

Q.
## TlInHgSe (PBE-GGA)

Data for a relaxed TlInHgSe crystal.

Cell and atoms, written as POSCAR:
```
TlInHgSe
1.0
4.2186 0.0000 0.0000
-2.1093 3.6535 0.0000
0.0000 0.0000 8.2219
Tl In Hg Se
1 1 1 1
Cartesian
0.0000 0.0000 0.0000
0.0000 2.4356 3.5714
2.1093 1.2178 5.7972
2.1093 1.2178 1.9496
```

Properties
**V**: 127 Å³/cell
**Theoretical density**: 7.8 g/cm3

---

Top of the stability list: Q, leading by 7.8 kJ/mol of atoms.